# 1
# SrAs4Au | the Alexandria database | PBE | optimized geometry
# - formation energy from the elements (eV/f.u.) = -0.8
# - total moment (μB per cell) = 0.00
# - E_tot (Ha/atom) = -0.14939
data_SrAs4Au
_chemical_formula_sum 'Sr1 As4 Au1'
_cell_length_a 5.7330
_cell_length_b 5.7330
_cell_length_c 5.7330
_cell_angle_alpha 60.00
_cell_angle_beta 60.00
_cell_angle_gamma 60.00
_space_group_name_H-M_alt 'P 1'
_space_group_IT_number 1
_space_group_name_Hall 'P 1'
loop_
_atom_site_label
_atom_site_fract_x
_atom_site_fract_y
_atom_site_fract_z
Sr1 0.0000 0.0000 0.0000
As1 0.8582 0.3806 0.3806
As2 0.3806 0.3806 0.8582
As3 0.3806 0.8582 0.3806
As4 0.3806 0.3806 0.3806
Au1 0.7500 0.7500 0.7500

# 2
# Al3WS | the Alexandria database | PBE | optimized geometry
# - formation energy (no corrections) (eV per atom) = 0.895
# - total moment (μB per cell) = 0.39
# - E_tot (Ha/atom) = -0.17519
# - excess energy over the best structure of this formula in the dataset (meV/atom) = 0
data_Al3WS
_chemical_formula_sum 'Al3 W1 S1'
_cell_length_a 4.4680
_cell_length_b 4.4680
_cell_length_c 4.4680
_cell_angle_alpha 90.00
_cell_angle_beta 90.00
_cell_angle_gamma 90.00
_space_group_name_H-M_alt 'P 1'
_space_group_IT_number 1
_space_group_name_Hall 'P 1'
loop_
_atom_site_label
_atom_site_fract_x
_atom_site_fract_y
_atom_site_fract_z
S1 0.0000 0.0000 0.0000
Al1 0.0000 0.5000 0.0000
Al2 0.0000 0.0000 0.5000
Al3 0.5000 0.0000 0.0000
W1 0.5000 0.5000 0.5000

# 3
# ZrReNi2Os | the Alexandria database | PBE | optimized geometry
# - formation energy from the elements (eV/f.u.) = 8.1
# - total moment (μB per cell) = 1.50
# - E_tot (Ha/atom) = -0.26239
data_ZrReNi2Os
_chemical_formula_sum 'Zr1 Re1 Ni2 Os1'
_cell_length_a 4.4134
_cell_length_b 4.4134
_cell_length_c 4.9865
_cell_angle_alpha 90.00
_cell_angle_beta 90.00
_cell_angle_gamma 90.00
_space_group_name_H-M_alt 'P 1'
_space_group_IT_number 1
_space_group_name_Hall 'P 1'
loop_
_atom_site_label
_atom_site_fract_x
_atom_site_fract_y
_atom_site_fract_z
Re1 0.0000 0.0000 0.0000
Os1 0.5000 0.5000 0.5000
Zr1 0.0000 0.0000 0.5000
Ni1 0.0000 0.5000 0.0000
Ni2 0.5000 0.0000 0.0000

# 4
# TeRh3 | the Alexandria database | PBE | optimized geometry
# - formation energy (no corrections) (eV per atom) = -0.060
# - total moment (μB per cell) = 0.00
# - E_tot (Ha/atom) = -0.23368
data_TeRh3
_chemical_formula_sum 'Te1 Rh3'
_cell_length_a 3.9779
_cell_length_b 3.9779
_cell_length_c 3.9788
_cell_angle_alpha 90.00
_cell_angle_beta 90.00
_cell_angle_gamma 90.01
_space_group_name_H-M_alt 'P 1'
_space_group_IT_number 1
_space_group_name_Hall 'P 1'
loop_
_atom_site_label
_atom_site_fract_x
_atom_site_fract_y
_atom_site_fract_z
Te1 0.0000 0.0000 0.0000
Rh1 0.0000 0.5000 0.5000
Rh2 0.5000 0.0000 0.5000
Rh3 0.5000 0.5000 0.0000

# 5
# La7Zn2Pt2 | the Alexandria database | PBE | optimized geometry
# - formation energy from the elements (eV/f.u.) = -4.8
# - total moment (μB per cell) = 0.00
# - E_tot (Ha/atom) = -0.18021
data_La7Zn2Pt2
_chemical_formula_sum 'La7 Zn2 Pt2'
_cell_length_a 7.0342
_cell_length_b 7.2922
_cell_length_c 7.0342
_cell_angle_alpha 90.00
_cell_angle_beta 108.48
_cell_angle_gamma 90.00
_space_group_name_H-M_alt 'P 1'
_space_group_IT_number 1
_space_group_name_Hall 'P 1'
loop_
_atom_site_label
_atom_site_fract_x
_atom_site_fract_y
_atom_site_fract_z
La1 0.0000 0.2703 0.5000
La2 0.5000 0.7297 0.0000
La3 0.0000 0.7297 0.5000
La4 0.5000 0.2703 0.0000
La5 0.0000 0.0000 0.0000
La6 0.5000 0.7296 0.5000
La7 0.5000 0.2704 0.5000
Zn1 0.8435 0.5000 0.8435
Zn2 0.1565 0.5000 0.1565
Pt1 0.7082 0.0000 0.2918
Pt2 0.2918 0.0000 0.7082

# 6
# Ca2CdGa4Pd3 | the Alexandria database | PBE | optimized geometry
# - formation energy from the elements (eV/f.u.) = -6.0
# - total moment (μB per cell) = 0.00
# - E_tot (Ha/atom) = -0.14193
data_Ca2CdGa4Pd3
_chemical_formula_sum 'Ca2 Cd1 Ga4 Pd3'
_cell_length_a 4.1898
_cell_length_b 4.1898
_cell_length_c 11.3963
_cell_angle_alpha 90.00
_cell_angle_beta 90.00
_cell_angle_gamma 90.00
_space_group_name_H-M_alt 'P 1'
_space_group_IT_number 1
_space_group_name_Hall 'P 1'
loop_
_atom_site_label
_atom_site_fract_x
_atom_site_fract_y
_atom_site_fract_z
Ca1 0.5000 0.0000 0.2399
Ca2 0.0000 0.5000 0.7601
Cd1 0.5000 0.5000 0.5000
Ga1 0.5000 0.5000 0.0000
Ga2 0.0000 0.0000 0.0000
Ga3 0.5000 0.0000 0.6490
Ga4 0.0000 0.5000 0.3510
Pd1 0.0000 0.0000 0.5000
Pd2 0.5000 0.0000 0.8690
Pd3 0.0000 0.5000 0.1310

# 7
# MnAsRhSe2 | the Alexandria database | PBE | optimized geometry
# - formation energy (no corrections) (eV per atom) = 1.005
# - total moment (μB per cell) = 0.17
# - E_tot (Ha/atom) = -0.16988
# - excess energy over the best structure of this formula in the dataset (meV/atom) = 428
data_MnAsRhSe2
_chemical_formula_sum 'Mn1 As1 Rh1 Se2'
_cell_length_a 4.9762
_cell_length_b 4.9762
_cell_length_c 4.5617
_cell_angle_alpha 90.00
_cell_angle_beta 90.00
_cell_angle_gamma 90.00
_space_group_name_H-M_alt 'P 1'
_space_group_IT_number 1
_space_group_name_Hall 'P 1'
loop_
_atom_site_label
_atom_site_fract_x
_atom_site_fract_y
_atom_site_fract_z
As1 0.0000 0.0000 0.5000
Mn1 0.5000 0.5000 0.5000
Rh1 0.0000 0.0000 0.0000
Se1 0.0000 0.5000 0.0000
Se2 0.5000 0.0000 0.0000

# 8
# BeSnC2 | the Alexandria database | PBE | optimized geometry
# - formation energy from the elements (eV/f.u.) = 4.5
# - total moment (μB per cell) = 0.00
# - E_tot (Ha/atom) = -0.19893
# - excess energy over the best structure of this formula in the dataset (meV/atom) = 0
data_BeSnC2
_chemical_formula_sum 'Be2 Sn2 C4'
_cell_length_a 4.1865
_cell_length_b 4.1865
_cell_length_c 6.1575
_cell_angle_alpha 70.13
_cell_angle_beta 70.13
_cell_angle_gamma 90.00
_space_group_name_H-M_alt 'P 1'
_space_group_IT_number 1
_space_group_name_Hall 'P 1'
loop_
_atom_site_label
_atom_site_fract_x
_atom_site_fract_y
_atom_site_fract_z
Be1 0.5000 0.5000 0.0000
Be2 0.2500 0.7500 0.5000
C1 0.5287 0.1250 0.2500
C2 0.2213 0.6250 0.2500
C3 0.3750 0.4713 0.7500
C4 0.8750 0.7787 0.7500
Sn1 0.0000 0.0000 0.0000
Sn2 0.7500 0.2500 0.5000